VASP calculation (GGA+U) on a relaxed MoOsIO2 crystal.

Structure (CIF):
```
data_MoOsIO2
_chemical_formula_sum 'Mo1 Os1 I1 O2'
_space_group_name_H-M_alt 'P 4/m m m'
_space_group_IT_number 123
_space_group_name_Hall '-P 4 2'
_cell_length_a 3.870
_cell_length_b 3.870
_cell_length_c 8.109
_cell_angle_alpha 90.00
_cell_angle_beta 90.00
_cell_angle_gamma 90.00
loop_
_atom_site_label
_atom_site_type_symbol
_atom_site_fract_x
_atom_site_fract_y
_atom_site_fract_z
Mo1 Mo 0.000 0.000 0.000
Os1 Os 0.500 0.500 0.500
I1 I 0.500 0.500 0.000
O1 O 0.000 0.500 0.500
```

Its density of states at the Fermi level is 1.9 states/eV per cell. For the offset from the most stable computed form, the calculation gives 0.000 eV per atom. As for the total energy: -5.89 eV per atom. The theoretical density comes out at 6.08 Mg/m³. As for the total moment: 0.930 μB per atom. Its volume is 24.293 Å³/atom.